Entry 1:
{
  "formula": "RbSr4Sn4",
  "functional": "PBE",
  "state": "optimized geometry",
  "magmom_total_mub_per_atom": 0.000,
  "formation_enthalpy_0k_ev_per_atom": -0.4100,
  "n_ef_per_ev_atom": 0.61,
  "final_energy_ev_per_atom": -3.04,
  "space_group": "P4_2/n (86)",
  "cell": [[6.679, 0.000, 0.000], [0.000, 10.977, 0.000], [0.000, 0.000, 10.977]],
  "species": ["Rb", "Rb", "Sr", "Sr", "Sr", "Sr", "Sr", "Sr", "Sr", "Sr", "Sn", "Sn", "Sn", "Sn", "Sn", "Sn", "Sn", "Sn"],
  "fractional_positions": [[0.000, 0.000, 0.000], [0.500, 0.500, 0.500], [0.377, 0.349, 0.889], [0.877, 0.611, 0.849], [0.377, 0.651, 0.111], [0.123, 0.151, 0.611], [0.623, 0.889, 0.651], [0.123, 0.849, 0.389], [0.877, 0.389, 0.151], [0.623, 0.111, 0.349], [0.622, 0.796, 0.343], [0.622, 0.204, 0.657], [0.122, 0.843, 0.704], [0.878, 0.296, 0.843], [0.878, 0.704, 0.157], [0.378, 0.343, 0.204], [0.378, 0.657, 0.796], [0.122, 0.157, 0.296]]
}

Entry 2:
{
  "formula": "Dy6Tm19Sc4",
  "functional": "PBE",
  "state": "optimized geometry",
  "magmom_total_mub_per_atom": 0.000,
  "formation_enthalpy_0k_ev_per_atom": 0.3859,
  "n_ef_per_ev_atom": 1.62,
  "final_energy_ev_per_atom": -4.37,
  "space_group": "I23 (197)",
  "cell": [[-6.246, 6.606, 5.333], [-5.703, -8.109, -3.578], [7.585, -3.583, 6.380]],
  "species": ["Dy", "Dy", "Dy", "Dy", "Dy", "Dy", "Tm", "Tm", "Tm", "Tm", "Tm", "Tm", "Tm", "Tm", "Tm", "Tm", "Tm", "Tm", "Tm", "Tm", "Tm", "Tm", "Tm", "Tm", "Tm", "Sc", "Sc", "Sc", "Sc"],
  "fractional_positions": [[0.370, 0.500, 0.870], [0.630, 0.500, 0.130], [0.130, 0.630, 0.500], [0.870, 0.370, 0.500], [0.500, 0.870, 0.370], [0.500, 0.130, 0.630], [0.741, 0.000, 0.741], [0.259, 0.000, 0.259], [0.259, 0.259, 0.000], [0.741, 0.741, 0.000], [0.000, 0.741, 0.741], [0.000, 0.259, 0.259], [0.000, 0.000, 0.000], [0.193, 0.210, 0.535], [0.807, 0.342, 0.018], [0.676, 0.658, 0.465], [0.018, 0.807, 0.342], [0.324, 0.790, 0.982], [0.535, 0.193, 0.210], [0.982, 0.324, 0.790], [0.465, 0.676, 0.658], [0.790, 0.982, 0.324], [0.342, 0.018, 0.807], [0.210, 0.535, 0.193], [0.658, 0.465, 0.676], [0.000, 0.000, 0.645], [0.000, 0.645, 0.000], [0.355, 0.355, 0.355], [0.645, 0.000, 0.000]]
}

Entry 3:
{
  "formula": "YThTl",
  "functional": "PBE",
  "state": "optimized geometry",
  "magmom_total_mub_per_atom": 0.000,
  "formation_enthalpy_0k_ev_per_atom": 0.0250,
  "n_ef_per_ev_atom": 1.54,
  "final_energy_ev_per_atom": -5.39,
  "space_group": "P3m1 (156)",
  "cell": [[-3.204, 0.656, 1.566], [-1.212, -5.271, -0.272], [2.535, 1.974, 4.359]],
  "species": ["Y", "Tl", "Th"],
  "fractional_positions": [[0.437, 0.333, 0.667], [0.597, 0.667, 0.333], [0.966, 0.000, 0.000]]
}

Entry 4:
{
  "formula": "Cs2CeTc3O12",
  "functional": "PBE",
  "state": "optimized geometry",
  "magmom_total_mub_per_atom": 0.130,
  "n_ef_per_ev_atom": 0.44,
  "formation_energy_uncorrected_ev_per_atom": -1.76,
  "final_energy_ev_per_atom": -7.22,
  "space_group": "R-3m (166)",
  "cell": [[7.678, 0.202, 0.143], [3.967, 6.577, 0.143], [3.967, 2.309, 6.160]],
  "species": ["Cs", "Cs", "Ce", "Tc", "Tc", "Tc", "O", "O", "O", "O", "O", "O", "O", "O", "O", "O", "O", "O"],
  "fractional_positions": [[0.617, 0.617, 0.617], [0.383, 0.383, 0.383], [0.000, 0.000, 0.000], [0.500, 0.000, 0.000], [0.000, 0.500, 0.000], [0.000, 0.000, 0.500], [0.301, 0.301, 0.930], [0.927, 0.927, 0.354], [0.354, 0.927, 0.927], [0.930, 0.301, 0.301], [0.927, 0.354, 0.927], [0.301, 0.930, 0.301], [0.699, 0.699, 0.070], [0.073, 0.073, 0.646], [0.646, 0.073, 0.073], [0.070, 0.699, 0.699], [0.073, 0.646, 0.073], [0.699, 0.070, 0.699]]
}